Density functional theory data (PBE-GGA) for crystalline Ac3HgRh2 at its relaxed geometry.

Lattice parameters (Å, degrees): 3.784 3.784 11.799 90.00 90.00 90.00
Positions (direct):
1 Ac 0.000 0.000 0.000
2 Ac 0.000 0.000 0.694
3 Ac 0.000 0.000 0.306
4 Hg 0.500 0.500 0.500
5 Rh 0.500 0.500 0.839
6 Rh 0.500 0.500 0.161

Computed properties:
The calculated density is 10.7 g/cm3. The crystal system is tetragonal. The value obtained for the volume is 28.16 Å³/atom. As for the formation enthalpy at 0 K: -528 meV per atom. The energy above the most stable polymorph in this dataset comes out at 0 meV/atom. The value obtained for the density of states at the Fermi level is 0.53 states/eV per atom. Its total magnetization is 0.0 μB per cell.